! Tm12TcSb6, optimized geometry, DFT PBE-GGA; values from VASP
! DOS(E_F): 0.65 states/eV/atom
! Uncorrected formation energy: -12.5 kcal/mol of atoms
! Total DFT energy (no corrections): -5.215 eV/atom
&SYSTEM
  ibrav = 0, nat = 19, ntyp = 3
/
ATOMIC_SPECIES
Sb 121.76 Sb.upf
Tc 98.00 Tc.upf
Tm 168.93 Tm.upf
ATOMIC_POSITIONS angstrom
Sb -0.300 4.887 2.545
Sb 4.075 6.729 2.738
Sb 0.857 4.254 7.110
Sb 4.876 2.425 0.892
Sb 1.658 -0.050 5.263
Sb 6.033 1.792 5.456
Tc 0.000 0.000 0.000
Tm 4.500 7.784 -0.089
Tm 7.012 -1.093 5.521
Tm 1.233 -1.105 8.091
Tm 2.484 4.183 1.557
Tm 1.975 5.699 4.683
Tm 0.399 2.575 4.394
Tm 3.248 2.496 6.444
Tm 5.334 4.104 3.608
Tm -1.279 7.772 2.480
Tm 3.758 0.980 3.318
Tm -2.144 4.224 7.643
Tm 7.877 2.456 0.358
CELL_PARAMETERS angstrom
8.418 -0.067 -0.080
-1.342 8.310 -0.080
-1.342 -1.564 8.162